The following is a GGA-PBE calculation of a relaxed structure of GaFe3Ni12, from Alexandria via LeMat-Bulk.

a b c (Å): 3.556 3.556 14.167
angles (deg): 90.00 90.00 90.00
Each line ends with the local moment (μB).
Sites, in units of the cell vectors:
Ga: 0.000 0.000 0.000  -0.04
Fe: 0.000 0.000 0.250  2.90
Fe: 0.000 0.000 0.500  2.89
Fe: 0.000 0.000 0.750  2.90
Ni: 0.500 0.500 0.000  0.23
Ni: 0.500 0.500 0.252  0.64
Ni: 0.500 0.500 0.500  0.71
Ni: 0.500 0.500 0.748  0.64
Ni: 0.500 0.000 0.128  0.47
Ni: 0.500 0.000 0.376  0.69
Ni: 0.500 0.000 0.624  0.69
Ni: 0.500 0.000 0.872  0.47
Ni: 0.000 0.500 0.128  0.47
Ni: 0.000 0.500 0.376  0.69
Ni: 0.000 0.500 0.624  0.69
Ni: 0.000 0.500 0.872  0.47

For the total energy, the calculation gives -6.2553 eV/atom. The density of states at the Fermi level comes out at 10.1 states/eV per cell. For the density, the calculation gives 8.73 Mg/m³. The formation energy is -0.14 eV per atom.